A relaxed GaCu2Rh2 crystal. Source: Alexandria, functional GGA-PBE.

Lattice parameters (Å, degrees): 3.5996 3.5996 6.5711 74.10 74.10 90.00
Closest atoms and distances in Å follow each position.
Sites, in units of the cell vectors:
1 Rh 0.7500 0.2500 0.5000  4 Rh 2.55, 4 Cu 2.59
2 Rh 0.2500 0.7500 0.5000  4 Rh 2.55, 4 Cu 2.59
3 Cu 0.4034 0.4034 0.1933  1 Cu 2.34, 4 Rh 2.59
4 Cu 0.5966 0.5966 0.8067  1 Cu 2.34, 4 Rh 2.59
5 Ga 0.0000 0.0000 0.0000  8 Cu 2.80

DFT formation energy in eV/atom: 0.36
Energy above the lowest structure with this stoichiometry in eV per atom: 0.388
Symmetry: I4/mmm, No. 139
Magnetization in μB per cell: 0.37
Calculated density in g/cm³: 8.52
Crystal system: tetragonal

A relaxed Sm2Ga4CuRh3 crystal. Source: Alexandria, functional GGA-PBE.

Lattice parameters (Å, degrees): 4.2333 4.2333 10.3029 90.00 90.00 90.00
Closest atoms and distances in Å follow each position.
Sites, in units of the cell vectors:
1 Sm 0.5000 0.0000 0.2541  8 Ga 3.23-3.37, 6 Rh 3.24-3.30, 2 Cu 3.30
2 Sm 0.0000 0.5000 0.7459  8 Ga 3.23-3.37, 6 Rh 3.24-3.30, 2 Cu 3.30
3 Ga 0.5000 0.5000 0.0000  4 Rh 2.52
4 Ga 0.0000 0.0000 0.0000  4 Rh 2.52
5 Ga 0.5000 0.0000 0.6273  3 Rh 2.47-2.49, 2 Cu 2.49
6 Ga 0.0000 0.5000 0.3727  3 Rh 2.47-2.49, 2 Cu 2.49
7 Cu 0.5000 0.5000 0.5000  4 Ga 2.49
8 Rh 0.0000 0.0000 0.5000  4 Ga 2.49
9 Rh 0.5000 0.0000 0.8674  5 Ga 2.47-2.52
10 Rh 0.0000 0.5000 0.1326  5 Ga 2.47-2.52

DFT formation energy in eV/atom: -0.68
Symmetry: P-4m2, No. 115
Magnetization in μB per cell: 0.00
Calculated density in g/cm³: 8.56
Crystal system: tetragonal

A relaxed Sm2GaCu2Rh5 crystal. Source: Alexandria, functional GGA-PBE.

Lattice parameters (Å, degrees): 3.7820 9.4039 9.4039 90.00 90.00 90.00
Closest atoms and distances in Å follow each position.
Sites, in units of the cell vectors:
1 Sm 0.0000 0.6751 0.1751  3 Cu 2.68-2.85, 2 Rh 3.00
2 Sm 0.0000 0.3249 0.8249  3 Cu 2.68-2.85, 2 Rh 3.00
3 Sm 0.0000 0.1751 0.3249  3 Cu 2.68-2.85, 2 Rh 3.00
4 Sm 0.0000 0.8249 0.6751  3 Cu 2.68-2.85, 2 Rh 3.00
5 Ga 0.0000 0.0000 0.0000  8 Rh 2.75
6 Ga 0.0000 0.5000 0.5000  8 Rh 2.75
7 Cu 0.0000 0.1230 0.6230  6 Rh 2.50-2.57, 1 Sm 2.68
8 Cu 0.0000 0.8770 0.3770  6 Rh 2.50-2.57, 1 Sm 2.68
9 Cu 0.0000 0.6230 0.8770  6 Rh 2.50-2.57, 1 Sm 2.68
10 Cu 0.0000 0.3770 0.1230  6 Rh 2.50-2.57, 1 Sm 2.68
11 Rh 0.5000 0.2014 0.0654  2 Cu 2.57, 2 Ga 2.75, 3 Rh 2.82-2.87
12 Rh 0.5000 0.7986 0.9346  2 Cu 2.57, 2 Ga 2.75, 3 Rh 2.82-2.87
13 Rh 0.5000 0.0654 0.7986  2 Cu 2.57, 2 Ga 2.75, 3 Rh 2.82-2.87
14 Rh 0.5000 0.7014 0.4346  2 Cu 2.57, 2 Ga 2.75, 3 Rh 2.82-2.87
15 Rh 0.5000 0.9346 0.2014  2 Cu 2.57, 2 Ga 2.75, 3 Rh 2.82-2.87
16 Rh 0.5000 0.2986 0.5654  2 Cu 2.57, 2 Ga 2.75, 3 Rh 2.82-2.87
17 Rh 0.5000 0.5654 0.7014  2 Cu 2.57, 2 Ga 2.75, 3 Rh 2.82-2.87
18 Rh 0.5000 0.4346 0.2986  2 Cu 2.57, 2 Ga 2.75, 3 Rh 2.82-2.87
19 Rh 0.5000 0.5000 0.0000  4 Cu 2.50
20 Rh 0.5000 0.0000 0.5000  4 Cu 2.50

DFT formation energy in eV/atom: -0.47
Symmetry: P4/mbm, No. 127
Magnetization in μB per cell: 0.00
Calculated density in g/cm³: 10.05
Crystal system: tetragonal

A relaxed Sm2Ga3Cu4Rh crystal. Source: Alexandria, functional GGA-PBE.

Lattice parameters (Å, degrees): 4.0240 4.0240 10.8278 90.00 90.00 90.00
Closest atoms and distances in Å follow each position.
Sites, in units of the cell vectors:
1 Sm 0.5000 0.0000 0.2574  4 Cu 3.04, 6 Ga 3.15-3.31, 2 Rh 3.31
2 Sm 0.0000 0.5000 0.7426  4 Cu 3.04, 6 Ga 3.15-3.31, 2 Rh 3.31
3 Ga 0.0000 0.0000 0.5000  4 Cu 2.54, 4 Rh 2.85
4 Ga 0.5000 0.0000 0.8684  5 Cu 2.44-2.47
5 Ga 0.0000 0.5000 0.1316  5 Cu 2.44-2.47
6 Cu 0.5000 0.5000 0.0000  4 Ga 2.47
7 Cu 0.0000 0.0000 0.0000  4 Ga 2.47
8 Cu 0.5000 0.0000 0.6434  3 Ga 2.44-2.54, 2 Rh 2.54
9 Cu 0.0000 0.5000 0.3566  3 Ga 2.44-2.54, 2 Rh 2.54
10 Rh 0.5000 0.5000 0.5000  4 Cu 2.54, 4 Ga 2.85

DFT formation energy in eV/atom: -0.40
Symmetry: P-4m2, No. 115
Magnetization in μB per cell: 0.00
Calculated density in g/cm³: 8.21
Crystal system: tetragonal

A relaxed SmGaCuRh crystal. Source: Alexandria, functional GGA-PBE.

Lattice parameters (Å, degrees): 4.6554 4.6554 4.6554 60.00 60.00 60.00
Closest atoms and distances in Å follow each position.
Sites, in units of the cell vectors:
1 Cu 0.2500 0.2500 0.2500  4 Sm 2.85, 4 Ga 2.85
2 Rh 0.7500 0.7500 0.7500  4 Sm 2.85, 4 Ga 2.85
3 Ga 0.5000 0.5000 0.5000  4 Rh 2.85, 4 Cu 2.85
4 Sm 0.0000 0.0000 0.0000  4 Cu 2.85, 4 Rh 2.85

DFT formation energy in eV/atom: -0.41
Symmetry: F-43m, No. 216
Magnetization in μB per cell: 0.00
Calculated density in g/cm³: 9.00
Crystal system: cubic

A relaxed SmGa2Cu2Rh crystal. Source: Alexandria, functional GGA-PBE.

Lattice parameters (Å, degrees): 4.7330 4.7330 5.3212 90.00 90.00 90.00
Closest atoms and distances in Å follow each position.
Sites, in units of the cell vectors:
1 Sm 0.0000 0.0000 0.5000  2 Rh 2.66
2 Ga 0.5000 0.0000 0.0000  2 Rh 2.37
3 Ga 0.0000 0.5000 0.0000  2 Rh 2.37
4 Cu 0.5000 0.5000 0.7336  1 Cu 2.49, 4 Ga 2.76
5 Cu 0.5000 0.5000 0.2664  1 Cu 2.49, 4 Ga 2.76
6 Rh 0.0000 0.0000 0.0000  4 Ga 2.37

DFT formation energy in eV/atom: -0.17
Symmetry: P4/mmm, No. 123
Magnetization in μB per cell: 0.00
Calculated density in g/cm³: 7.24
Crystal system: tetragonal

A relaxed Ga2CuSn2Rh2 crystal. Source: Alexandria, functional GGA-PBE.

Lattice parameters (Å, degrees): 4.5576 4.5576 7.2909 108.21 108.21 90.00
Closest atoms and distances in Å follow each position.
Sites, in units of the cell vectors:
1 Ga 0.0000 0.5000 0.0000  2 Cu 2.28
2 Ga 0.5000 0.0000 0.0000  2 Cu 2.28
3 Cu 0.0000 0.0000 0.0000  4 Ga 2.28
4 Sn 0.1958 0.1958 0.3916  1 Cu 2.56, 1 Rh 2.61
5 Sn 0.8042 0.8042 0.6083  1 Cu 2.56, 1 Rh 2.61
6 Rh 0.3954 0.3954 0.7907  1 Sn 2.61, 4 Ga 2.66, 1 Rh 2.74
7 Rh 0.6046 0.6046 0.2093  1 Sn 2.61, 4 Ga 2.66, 1 Rh 2.74

DFT formation energy in eV/atom: 0.01
Symmetry: I4/mmm, No. 139
Magnetization in μB per cell: 0.00
Calculated density in g/cm³: 7.90
Crystal system: tetragonal

A relaxed Sr2Ga4Cu3Rh crystal. Source: Alexandria, functional GGA-PBE.

Lattice parameters (Å, degrees): 4.2611 4.2611 10.6658 90.00 90.00 90.00
Closest atoms and distances in Å follow each position.
Sites, in units of the cell vectors:
1 Sr 0.5000 0.0000 0.2495  6 Cu 3.27-3.42, 8 Ga 3.30-3.41, 2 Rh 3.42
2 Sr 0.0000 0.5000 0.7505  6 Cu 3.27-3.42, 8 Ga 3.30-3.41, 2 Rh 3.42
3 Ga 0.5000 0.5000 0.0000  4 Cu 2.55
4 Ga 0.0000 0.0000 0.0000  4 Cu 2.55
5 Ga 0.5000 0.0000 0.6249  2 Rh 2.51, 3 Cu 2.51-2.60
6 Ga 0.0000 0.5000 0.3751  3 Cu 2.51-2.60, 2 Rh 2.51
7 Cu 0.0000 0.0000 0.5000  4 Ga 2.51
8 Cu 0.5000 0.0000 0.8685  5 Ga 2.55-2.60
9 Cu 0.0000 0.5000 0.1315  5 Ga 2.55-2.60
10 Rh 0.5000 0.5000 0.5000  4 Ga 2.51

DFT formation energy in eV/atom: -0.38
Symmetry: P-4m2, No. 115
Magnetization in μB per cell: 0.00
Calculated density in g/cm³: 6.41
Crystal system: tetragonal

A relaxed SrGa2CuRh crystal. Source: Alexandria, functional GGA-PBE.

Lattice parameters (Å, degrees): 4.7323 4.7323 5.0070 90.00 90.00 90.00
Closest atoms and distances in Å follow each position.
Sites, in units of the cell vectors:
1 Sr 0.5000 0.5000 0.5000  4 Cu 3.35, 8 Ga 3.44
2 Rh 0.0000 0.0000 0.0000  4 Ga 2.37, 2 Cu 2.50
3 Cu 0.0000 0.0000 0.5000  2 Rh 2.50
4 Ga 0.0000 0.5000 0.0000  2 Rh 2.37
5 Ga 0.5000 0.0000 0.0000  2 Rh 2.37

DFT formation energy in eV/atom: -0.31
Symmetry: P4/mmm, No. 123
Magnetization in μB per cell: 0.00
Calculated density in g/cm³: 5.83
Crystal system: tetragonal

A relaxed SrGaCu2Rh2 crystal. Source: Alexandria, functional GGA-PBE.

Lattice parameters (Å, degrees): 4.6335 4.6335 5.8625 90.00 90.00 90.00
Closest atoms and distances in Å follow each position.
Sites, in units of the cell vectors:
1 Sr 0.0000 0.0000 0.5000  2 Ga 2.93
2 Ga 0.0000 0.0000 0.0000  4 Rh 2.32
3 Cu 0.5000 0.5000 0.7813  1 Cu 2.56, 4 Rh 2.65
4 Cu 0.5000 0.5000 0.2187  1 Cu 2.56, 4 Rh 2.65
5 Rh 0.5000 0.0000 0.0000  2 Ga 2.32
6 Rh 0.0000 0.5000 0.0000  2 Ga 2.32

DFT formation energy in eV/atom: 0.00
Symmetry: P4/mmm, No. 123
Magnetization in μB per cell: 0.00
Calculated density in g/cm³: 6.47
Crystal system: tetragonal

A relaxed TbGa2CuRh4 crystal. Source: Alexandria, functional GGA-PBE.

Lattice parameters (Å, degrees): 4.3793 4.3793 7.7963 73.69 73.69 60.00
Closest atoms and distances in Å follow each position.
Sites, in units of the cell vectors:
1 Tb 0.0000 0.0000 0.0000  8 Rh 2.76-2.84
2 Ga 0.7557 0.7557 0.7329  7 Rh 2.56-2.68
3 Ga 0.2443 0.2443 0.2671  7 Rh 2.56-2.68
4 Cu 0.5000 0.5000 0.5000  8 Rh 2.58-2.67
5 Rh 0.3836 0.3836 0.8492  1 Cu 2.58, 3 Ga 2.67, 3 Tb 2.76
6 Rh 0.8715 0.8715 0.3856  4 Ga 2.56-2.68, 3 Cu 2.67, 1 Tb 2.84
7 Rh 0.1285 0.1285 0.6144  4 Ga 2.56-2.68, 3 Cu 2.67, 1 Tb 2.84
8 Rh 0.6164 0.6164 0.1508  1 Cu 2.58, 3 Ga 2.67, 3 Tb 2.76

DFT formation energy in eV/atom: -0.59
Symmetry: R-3m, No. 166
Magnetization in μB per cell: 0.00
Calculated density in g/cm³: 10.49
Crystal system: trigonal

A relaxed Tb2Ga4Cu3Rh crystal. Source: Alexandria, functional GGA-PBE.

Lattice parameters (Å, degrees): 4.0466 4.0466 10.6411 90.00 90.00 90.00
Closest atoms and distances in Å follow each position.
Sites, in units of the cell vectors:
1 Tb 0.5000 0.0000 0.2467  6 Cu 3.09-3.37, 8 Ga 3.12-3.31, 2 Rh 3.37
2 Tb 0.0000 0.5000 0.7533  6 Cu 3.09-3.37, 8 Ga 3.12-3.31, 2 Rh 3.37
3 Ga 0.5000 0.5000 0.0000  4 Cu 2.49
4 Ga 0.0000 0.0000 0.0000  4 Cu 2.49
5 Ga 0.5000 0.0000 0.6366  3 Cu 2.41-2.49, 2 Rh 2.49
6 Ga 0.0000 0.5000 0.3634  3 Cu 2.41-2.49, 2 Rh 2.49
7 Cu 0.0000 0.0000 0.5000  4 Ga 2.49
8 Cu 0.5000 0.0000 0.8631  5 Ga 2.41-2.49
9 Cu 0.0000 0.5000 0.1369  5 Ga 2.41-2.49
10 Rh 0.5000 0.5000 0.5000  4 Ga 2.49

DFT formation energy in eV/atom: -0.52
Symmetry: P-4m2, No. 115
Magnetization in μB per cell: 0.00
Calculated density in g/cm³: 8.48
Crystal system: tetragonal

| no. | DOS at the Fermi energy (states/eV/atom) |
| --- | --- |
| 1 | 1.4124 |
| 2 | 0.5956 |
| 3 | 0.9885 |
| 4 | 0.5834 |
| 5 | 0.6945 |
| 6 | 0.3785 |
| 7 | 0.3710 |
| 8 | 0.6961 |
| 9 | 0.3514 |
| 10 | 0.3373 |
| 11 | 0.6607 |
| 12 | 0.4918 |